The following is a PBE-GGA calculation of Pr3Sm2Se6 after structural relaxation, from Alexandria.

```
Pr3Sm2Se6
1.0
2.130 1.230 20.748
-2.130 1.230 20.748
0.000 -2.459 20.748
Pr Sm Se
3 2 6
Direct
0.000 0.000 0.000 Pr
0.278 0.278 0.278 Pr
0.722 0.722 0.722 Pr
0.448 0.448 0.448 Sm
0.552 0.552 0.552 Sm
0.085 0.085 0.085 Se
0.196 0.196 0.196 Se
0.361 0.361 0.361 Se
0.639 0.639 0.639 Se
0.804 0.804 0.804 Se
0.915 0.915 0.915 Se
```

- formation energy from raw total energies (meV/atom) = -1821

---

The following is a PBE-GGA calculation of Pr4SmSe5 after structural relaxation, from Alexandria.

```
Pr4SmSe5
1.0
-2.122 3.000 10.645
2.122 -3.000 10.645
2.122 3.000 -10.645
Pr Sm Se
4 1 5
Direct
0.100 0.100 0.000 Pr
0.301 0.301 0.000 Pr
0.699 0.699 0.000 Pr
0.900 0.900 0.000 Pr
0.500 0.500 0.000 Sm
0.000 0.500 0.500 Se
0.201 0.701 0.500 Se
0.403 0.903 0.500 Se
0.597 0.097 0.500 Se
0.799 0.299 0.500 Se
```

- formation energy from raw total energies (meV/atom) = -1834

---

The following is a PBE-GGA calculation of PrSm4Se4 after structural relaxation, from Alexandria.

```
PrSm4Se4
1.0
-4.645 4.645 2.933
4.645 -4.645 2.933
4.645 4.645 -2.933
Pr Sm Se
1 4 4
Direct
0.000 0.000 0.000 Pr
0.199 0.605 0.804 Sm
0.395 0.199 0.594 Sm
0.605 0.801 0.406 Sm
0.801 0.395 0.196 Sm
0.099 0.305 0.404 Se
0.305 0.901 0.206 Se
0.695 0.099 0.794 Se
0.901 0.695 0.596 Se
```

- formation energy from raw total energies (meV/atom) = -1588

---

The following is a PBE-GGA calculation of Pr4SmSe7 after structural relaxation, from Alexandria.

```
Pr4SmSe7
1.0
6.979 -2.066 0.000
6.979 2.066 0.000
-3.222 0.000 12.142
Pr Sm Se
4 1 7
Direct
0.000 0.000 0.000 Pr
0.188 0.188 0.767 Pr
0.587 0.587 0.385 Pr
0.887 0.887 0.575 Pr
0.775 0.775 0.154 Sm
0.151 0.151 0.225 Se
0.227 0.227 0.526 Se
0.385 0.385 0.078 Se
0.548 0.548 0.627 Se
0.630 0.630 0.930 Se
0.847 0.847 0.792 Se
0.927 0.927 0.357 Se
```

- formation energy from raw total energies (meV/atom) = -1882

---

The following is a PBE-GGA calculation of PrSmSe3 after structural relaxation, from Alexandria.

```
PrSmSe3
1.0
4.191 0.000 0.000
0.000 7.189 0.000
0.000 0.000 9.229
Pr Sm Se
2 2 6
Direct
0.250 0.250 0.150 Pr
0.750 0.750 0.850 Pr
0.250 0.750 0.398 Sm
0.750 0.250 0.602 Sm
0.250 0.522 0.669 Se
0.250 0.750 0.069 Se
0.250 0.978 0.669 Se
0.750 0.022 0.331 Se
0.750 0.250 0.931 Se
0.750 0.478 0.331 Se
```

- offset from the most stable computed form (meV/atom) = 60
- formation energy from raw total energies (meV/atom) = -1849

---

The following is a PBE-GGA calculation of Pr2SmSe4 after structural relaxation, from Alexandria.

```
Pr2SmSe4
1.0
2.047 -7.048 0.000
2.047 7.048 0.000
0.000 0.000 14.202
Pr Sm Se
4 2 8
Direct
0.130 0.870 0.571 Pr
0.130 0.870 0.929 Pr
0.870 0.130 0.071 Pr
0.870 0.130 0.429 Pr
0.373 0.627 0.750 Sm
0.627 0.373 0.250 Sm
0.023 0.977 0.750 Se
0.221 0.779 0.125 Se
0.221 0.779 0.375 Se
0.500 0.500 0.000 Se
0.500 0.500 0.500 Se
0.779 0.221 0.625 Se
0.779 0.221 0.875 Se
0.977 0.023 0.250 Se
```

- offset from the most stable computed form (meV/atom) = 25
- formation energy from raw total energies (meV/atom) = -1841

---

The following is a PBE-GGA calculation of Pr4SmSe5 after structural relaxation, from Alexandria.

```
Pr4SmSe5
1.0
-2.121 2.121 15.062
2.121 -2.121 15.062
2.121 2.121 -15.062
Pr Sm Se
4 1 5
Direct
0.101 0.101 0.000 Pr
0.303 0.303 0.000 Pr
0.697 0.697 0.000 Pr
0.899 0.899 0.000 Pr
0.500 0.500 0.000 Sm
0.000 0.000 0.000 Se
0.202 0.202 0.000 Se
0.403 0.403 0.000 Se
0.597 0.597 0.000 Se
0.798 0.798 0.000 Se
```

- formation energy from raw total energies (meV/atom) = -1836

---

The following is a PBE-GGA calculation of Pr2SmSe4 after structural relaxation, from Alexandria.

```
Pr2SmSe4
1.0
-4.225 4.257 5.897
4.225 -4.257 5.897
4.225 4.257 -5.897
Pr Sm Se
4 2 8
Direct
0.000 0.000 0.000 Pr
0.500 0.000 0.000 Pr
0.500 0.000 0.500 Pr
0.500 0.500 0.500 Pr
0.000 0.000 0.500 Sm
0.000 0.500 0.000 Sm
0.240 0.744 0.495 Se
0.248 0.245 0.498 Se
0.248 0.750 0.002 Se
0.251 0.256 0.995 Se
0.749 0.744 0.005 Se
0.752 0.250 0.998 Se
0.752 0.755 0.502 Se
0.760 0.256 0.505 Se
```

- offset from the most stable computed form (meV/atom) = 0
- formation energy from raw total energies (meV/atom) = -1866

---

The following is a PBE-GGA calculation of PrSmSe3 after structural relaxation, from Alexandria.

```
PrSmSe3
1.0
11.509 0.000 0.000
0.000 4.198 0.000
0.000 0.000 11.113
Pr Sm Se
4 4 12
Direct
0.195 0.250 0.001 Pr
0.305 0.750 0.501 Pr
0.695 0.250 0.499 Pr
0.805 0.750 0.999 Pr
0.010 0.250 0.687 Sm
0.490 0.750 0.187 Sm
0.510 0.250 0.813 Sm
0.990 0.750 0.313 Sm
0.044 0.750 0.872 Se
0.117 0.250 0.445 Se
0.230 0.750 0.202 Se
0.270 0.250 0.702 Se
0.383 0.750 0.945 Se
0.456 0.250 0.372 Se
0.544 0.750 0.628 Se
0.617 0.250 0.055 Se
0.730 0.750 0.298 Se
0.770 0.250 0.798 Se
0.883 0.750 0.555 Se
0.956 0.250 0.128 Se
```

- offset from the most stable computed form (meV/atom) = 0
- formation energy from raw total energies (meV/atom) = -1909

---

The following is a PBE-GGA calculation of Pr2SmSe after structural relaxation, from Alexandria.

```
Pr2SmSe
1.0
1.983 1.145 9.720
-1.983 1.145 9.720
0.000 -2.290 9.720
Pr Sm Se
2 1 1
Direct
0.000 0.000 0.000 Pr
0.202 0.202 0.202 Pr
0.768 0.768 0.768 Sm
0.601 0.601 0.601 Se
```

- offset from the most stable computed form (meV/atom) = 0
- formation energy from raw total energies (meV/atom) = -792

---

The following is a PBE-GGA calculation of Pr4Sm3Se8 after structural relaxation, from Alexandria.

```
Pr4Sm3Se8
1.0
4.153 2.398 7.744
-4.153 2.398 7.744
0.000 -4.796 7.744
Pr Sm Se
4 3 8
Direct
0.000 0.000 0.000 Pr
0.146 0.146 0.146 Pr
0.500 0.500 0.500 Pr
0.854 0.854 0.854 Pr
0.000 0.500 0.500 Sm
0.500 0.000 0.500 Sm
0.500 0.500 0.000 Sm
0.251 0.251 0.739 Se
0.251 0.739 0.251 Se
0.261 0.749 0.749 Se
0.268 0.268 0.268 Se
0.732 0.732 0.732 Se
0.739 0.251 0.251 Se
0.749 0.261 0.749 Se
0.749 0.749 0.261 Se
```

- offset from the most stable computed form (meV/atom) = 230
- formation energy from raw total energies (meV/atom) = -1636

---

The following is a PBE-GGA calculation of Pr4SmSe4 after structural relaxation, from Alexandria.

```
Pr4SmSe4
1.0
-4.690 4.690 3.001
4.690 -4.690 3.001
4.690 4.690 -3.001
Pr Sm Se
4 1 4
Direct
0.101 0.299 0.400 Pr
0.299 0.899 0.198 Pr
0.701 0.101 0.802 Pr
0.899 0.701 0.600 Pr
0.500 0.500 0.000 Sm
0.202 0.597 0.799 Se
0.403 0.202 0.605 Se
0.597 0.798 0.395 Se
0.798 0.403 0.201 Se
```

- formation energy from raw total energies (meV/atom) = -1594

---

The following is a PBE-GGA calculation of Pr2SmSe after structural relaxation, from Alexandria.

```
Pr2SmSe
1.0
1.962 1.133 9.879
-1.962 1.133 9.879
0.000 -2.265 9.879
Pr Sm Se
2 1 1
Direct
0.233 0.233 0.233 Pr
0.767 0.767 0.767 Pr
0.000 0.000 0.000 Sm
0.500 0.500 0.500 Se
```

- offset from the most stable computed form (meV/atom) = 16
- formation energy from raw total energies (meV/atom) = -776

---

The following is a PBE-GGA calculation of PrSm5Se8 after structural relaxation, from Alexandria.

```
PrSm5Se8
1.0
-4.544 4.544 4.313
4.544 -4.544 4.313
4.544 4.544 -4.313
Pr Sm Se
1 5 8
Direct
0.000 0.000 0.000 Pr
0.217 0.627 0.093 Sm
0.373 0.466 0.590 Sm
0.534 0.124 0.907 Sm
0.750 0.250 0.500 Sm
0.876 0.783 0.410 Sm
0.125 0.731 0.742 Se
0.129 0.243 0.756 Se
0.269 0.011 0.394 Se
0.486 0.373 0.244 Se
0.617 0.875 0.606 Se
0.627 0.871 0.114 Se
0.757 0.514 0.886 Se
0.989 0.383 0.258 Se
```

- formation energy from raw total energies (meV/atom) = -1846

---

The following is a PBE-GGA calculation of TbPrSm2Se6 after structural relaxation, from Alexandria.

```
TbPrSm2Se6
1.0
3.697 2.134 6.579
-3.697 2.134 6.579
0.000 -4.268 6.579
Tb Pr Sm Se
1 1 2 6
Direct
0.000 0.000 0.000 Tb
0.504 0.504 0.504 Pr
0.303 0.303 0.303 Sm
0.800 0.800 0.800 Sm
0.099 0.395 0.710 Se
0.194 0.911 0.601 Se
0.395 0.710 0.099 Se
0.601 0.194 0.911 Se
0.710 0.099 0.395 Se
0.911 0.601 0.194 Se
```

- formation energy from raw total energies (meV/atom) = -1843

---

The following is a PBE-GGA calculation of Tb3Pr2SmSe6 after structural relaxation, from Alexandria.

```
Tb3Pr2SmSe6
1.0
9.110 -2.066 0.000
9.110 2.066 0.000
-2.087 0.000 8.149
Tb Pr Sm Se
3 2 1 6
Direct
0.000 0.000 0.000 Tb
0.332 0.332 0.667 Tb
0.668 0.668 0.333 Tb
0.333 0.333 0.166 Pr
0.667 0.667 0.834 Pr
0.000 0.000 0.500 Sm
0.163 0.163 0.092 Se
0.168 0.168 0.573 Se
0.496 0.496 0.753 Se
0.504 0.504 0.247 Se
0.832 0.832 0.427 Se
0.837 0.837 0.908 Se
```

- formation energy from raw total energies (meV/atom) = -1807

---

The following is a PBE-GGA calculation of TbPrSm2Se4 after structural relaxation, from Alexandria.

```
TbPrSm2Se4
1.0
7.222 0.000 0.000
0.000 4.126 0.000
-2.364 0.000 6.924
Tb Pr Sm Se
1 1 2 4
Direct
0.000 0.000 0.000 Tb
0.000 0.500 0.500 Pr
0.500 0.000 0.500 Sm
0.500 0.500 0.000 Sm
0.247 0.500 0.242 Se
0.253 0.000 0.758 Se
0.747 0.000 0.242 Se
0.753 0.500 0.758 Se
```

- formation energy from raw total energies (meV/atom) = -1807

---

The following is a PBE-GGA calculation of TbPr2SmSe5 after structural relaxation, from Alexandria.

```
TbPr2SmSe5
1.0
5.168 0.000 0.000
0.000 5.168 0.000
0.000 0.000 10.931
Tb Pr Sm Se
1 2 1 5
Direct
0.000 0.000 0.000 Tb
0.500 0.500 0.176 Pr
0.500 0.500 0.824 Pr
0.000 0.000 0.500 Sm
0.000 0.000 0.252 Se
0.000 0.000 0.748 Se
0.000 0.500 0.000 Se
0.500 0.000 0.000 Se
0.500 0.500 0.500 Se
```

- formation energy from raw total energies (meV/atom) = -1284

---

The following is a PBE-GGA calculation of TbPrSm4Se8 after structural relaxation, from Alexandria.

```
TbPrSm4Se8
1.0
4.297 2.481 7.046
-4.297 2.481 7.046
0.000 -4.961 7.046
Tb Pr Sm Se
1 1 4 8
Direct
0.000 0.000 0.000 Tb
0.626 0.626 0.626 Pr
0.124 0.626 0.626 Sm
0.251 0.251 0.251 Sm
0.626 0.124 0.626 Sm
0.626 0.626 0.124 Sm
0.380 0.380 0.854 Se
0.380 0.854 0.380 Se
0.384 0.384 0.384 Se
0.391 0.874 0.874 Se
0.854 0.380 0.380 Se
0.869 0.869 0.869 Se
0.874 0.391 0.874 Se
0.874 0.874 0.391 Se
```

- formation energy from raw total energies (meV/atom) = -1726

---

The following is a PBE-GGA calculation of Tb4PrSmSe8 after structural relaxation, from Alexandria.

```
Tb4PrSmSe8
1.0
4.258 2.458 6.992
-4.258 2.458 6.992
0.000 -4.917 6.992
Tb Pr Sm Se
4 1 1 8
Direct
0.000 0.000 0.000 Tb
0.374 0.374 0.877 Tb
0.374 0.877 0.374 Tb
0.877 0.374 0.374 Tb
0.748 0.748 0.748 Pr
0.373 0.373 0.373 Sm
0.128 0.128 0.605 Se
0.128 0.605 0.128 Se
0.132 0.132 0.132 Se
0.155 0.617 0.617 Se
0.605 0.128 0.128 Se
0.613 0.613 0.613 Se
0.617 0.155 0.617 Se
0.617 0.617 0.155 Se
```

- formation energy from raw total energies (meV/atom) = -1723

---

The following is a PBE-GGA calculation of TbPr3Sm2Se6 after structural relaxation, from Alexandria.

```
TbPr3Sm2Se6
1.0
3.621 -6.304 0.000
3.621 6.304 0.000
-2.425 0.000 6.918
Tb Pr Sm Se
1 3 2 6
Direct
0.000 0.000 0.000 Tb
0.170 0.830 0.500 Pr
0.500 0.500 0.500 Pr
0.830 0.170 0.500 Pr
0.333 0.667 0.000 Sm
0.667 0.333 0.000 Sm
0.079 0.408 0.239 Se
0.248 0.248 0.759 Se
0.408 0.079 0.239 Se
0.592 0.921 0.761 Se
0.752 0.752 0.241 Se
0.921 0.592 0.761 Se
```

- formation energy from raw total energies (meV/atom) = -1827